No. 1
Material: PrZnHg
Method: DFT, PBE
State: relaxed

Output
**Symmetry**: No. 216
**Fermi-level density of states**: 1.3656 states/eV per atom
**Formation enthalpy at 0 K**: -264.5 meV per atom

a b c (Å): 4.809 4.809 4.809
angles (deg): 60.00 60.00 60.00
Atoms (fractional coordinates):
Pr: 0.000 0.000 0.000
Zn: 0.250 0.250 0.250
Hg: 0.500 0.500 0.500

=====

No. 2
Material: Pr3Zn3Hg
Method: DFT, PBE
State: relaxed

Output
**Symmetry**: No. 44
**Fermi-level density of states**: 0.9678 states/eV per atom
**Formation enthalpy at 0 K**: -312.5 meV per atom

a b c (Å): 4.671 3.709 10.671
angles (deg): 100.01 102.64 90.00
Atoms (fractional coordinates):
Pr: 0.305 0.805 0.610
Pr: 0.691 0.191 0.383
Pr: 0.005 0.005 0.010
Zn: 0.137 0.637 0.275
Zn: 0.857 0.357 0.714
Zn: 0.569 0.569 0.139
Hg: 0.435 0.435 0.870

=====

No. 3
Material: Pr2Zn2Hg3
Method: DFT, PBE
State: relaxed

Output
**Energy above the lowest structure with this stoichiometry**: 0.0000 eV per atom
**Symmetry**: No. 63
**Fermi-level density of states**: 1.0581 states/eV per atom
**Formation enthalpy at 0 K**: -309.2 meV per atom

a b c (Å): 4.629 7.307 10.456
angles (deg): 90.00 102.79 90.00
Atoms (fractional coordinates):
Pr: 0.164 0.250 0.327
Pr: 0.836 0.750 0.673
Pr: 0.951 0.250 0.902
Pr: 0.049 0.750 0.098
Zn: 0.690 0.936 0.381
Zn: 0.310 0.064 0.619
Zn: 0.310 0.436 0.619
Zn: 0.690 0.564 0.381
Hg: 0.221 0.750 0.442
Hg: 0.779 0.250 0.558
Hg: 0.567 0.445 0.134
Hg: 0.433 0.555 0.866
Hg: 0.433 0.945 0.866
Hg: 0.567 0.055 0.134

=====

No. 4
Material: PrZrZnHg
Method: DFT, PBE
State: relaxed

Output
**Symmetry**: No. 216
**Fermi-level density of states**: 1.5160 states/eV per atom
**Formation enthalpy at 0 K**: -153.2 meV per atom

a b c (Å): 5.128 5.128 5.128
angles (deg): 60.00 60.00 60.00
Site moments in Bohr magnetons follow the coordinates.
Atoms (fractional coordinates):
Pr: 0.500 0.500 0.500  0.06
Zn: 0.250 0.250 0.250  0.01
Hg: 0.750 0.750 0.750  0.01
Zr: 0.000 0.000 0.000  0.20

=====

No. 5
Material: PrZrHg2
Method: DFT, PBE
State: relaxed

Output
**Energy above the lowest structure with this stoichiometry**: 0.0000 eV per atom
**Symmetry**: No. 123
**Fermi-level density of states**: 1.2060 states/eV per atom
**Formation enthalpy at 0 K**: -257.4 meV per atom

a b c (Å): 3.623 3.623 7.641
angles (deg): 90.00 90.00 90.00
Site moments in Bohr magnetons follow the coordinates.
Atoms (fractional coordinates):
Pr: 0.500 0.500 0.500  0.18
Hg: 0.000 0.000 0.781  0.01
Hg: 0.000 0.000 0.219  0.01
Zr: 0.500 0.500 0.000  0.09

=====

No. 6
Material: PrZrHg2
Method: DFT, PBE
State: relaxed

Output
**Energy above the lowest structure with this stoichiometry**: 0.0600 eV per atom
**Symmetry**: No. 225
**Fermi-level density of states**: 1.2242 states/eV per atom
**Formation enthalpy at 0 K**: -197.4 meV per atom

a b c (Å): 5.237 5.237 5.237
angles (deg): 60.00 60.00 60.00
Site moments in Bohr magnetons follow the coordinates.
Atoms (fractional coordinates):
Pr: 0.000 0.000 0.000  0.12
Hg: 0.250 0.250 0.250  0.02
Hg: 0.750 0.750 0.750  0.02
Zr: 0.500 0.500 0.500  0.39

=====

No. 7
Material: PrZr2Hg
Method: DFT, PBE
State: relaxed

Output
**Symmetry**: No. 166
**Fermi-level density of states**: 1.1703 states/eV per atom
**Formation enthalpy at 0 K**: 250.7 meV per atom

a b c (Å): 3.214 3.214 11.588
angles (deg): 82.03 82.03 60.00
Atoms (fractional coordinates):
Pr: 0.000 0.000 0.000
Hg: 0.500 0.500 0.500
Zr: 0.094 0.094 0.719
Zr: 0.906 0.906 0.281

=====

No. 8
Material: PrZrHg2
Method: DFT, PBE
State: relaxed

Output
**Energy above the lowest structure with this stoichiometry**: 0.1626 eV per atom
**Symmetry**: No. 166
**Fermi-level density of states**: 1.2433 states/eV per atom
**Formation enthalpy at 0 K**: -94.8 meV per atom

a b c (Å): 3.578 3.578 9.840
angles (deg): 79.52 79.52 60.00
Atoms (fractional coordinates):
Pr: 0.500 0.500 0.500
Hg: 0.743 0.743 0.771
Hg: 0.257 0.257 0.229
Zr: 0.000 0.000 0.000